Entry 1:
ErHg6: relaxed, PBE-GGA.

a b c (Å): 8.137 8.137 8.137
angles (deg): 36.80 36.80 36.80
Element x y z (fractional)
1 Er 0.000 0.000 0.000
2 Hg 0.139 0.139 0.139
3 Hg 0.282 0.282 0.282
4 Hg 0.422 0.422 0.422
5 Hg 0.578 0.578 0.578
6 Hg 0.718 0.718 0.718
7 Hg 0.861 0.861 0.861

Results
Space group = R-3m (166)
Final energy = -1.0378 eV/atom

Entry 2:
La6AlTl: relaxed, PBE-GGA.

a b c (Å): 5.737 5.737 7.776
angles (deg): 90.00 90.00 90.00
Element x y z (fractional)
1 La 0.000 0.000 0.000
2 La 0.000 0.000 0.500
3 La 0.000 0.500 0.241
4 La 0.000 0.500 0.759
5 La 0.500 0.000 0.241
6 La 0.500 0.000 0.759
7 Al 0.500 0.500 0.000
8 Tl 0.500 0.500 0.500

Results
Space group = P4/mmm (123)
Final energy = -4.5769 eV/atom

Entry 3:
ZrBRu3: relaxed, PBE-GGA.

a b c (Å): 5.497 5.497 5.263
angles (deg): 99.81 99.81 64.95
Element x y z (fractional)
1 Zr 0.170 0.830 0.500
2 Zr 0.830 0.170 0.000
3 B 0.488 0.956 0.855
4 B 0.956 0.488 0.355
5 Ru 0.249 0.336 0.700
6 Ru 0.336 0.249 0.200
7 Ru 0.367 0.709 0.034
8 Ru 0.658 0.877 0.486
9 Ru 0.709 0.367 0.534
10 Ru 0.877 0.658 0.986

Results
Space group = Cc (9)
Final energy = -8.9120 eV/atom

Entry 4:
Ho2Er2Tm: relaxed, PBE-GGA.

a b c (Å): 9.162 9.162 3.663
angles (deg): 90.00 90.00 90.00
Element x y z (fractional)
1 Ho 0.128 0.372 0.000
2 Ho 0.372 0.872 0.000
3 Ho 0.628 0.128 0.000
4 Ho 0.872 0.628 0.000
5 Er 0.171 0.671 0.500
6 Er 0.329 0.171 0.500
7 Er 0.671 0.829 0.500
8 Er 0.829 0.329 0.500
9 Tm 0.000 0.000 0.000
10 Tm 0.500 0.500 0.000

Results
Space group = P4/mbm (127)
Final energy = -4.4525 eV/atom

Entry 5:
Pm2ZrP3: relaxed, PBE-GGA.

a b c (Å): 8.897 8.897 8.897
angles (deg): 153.96 153.96 37.15
Element x y z (fractional)
1 Pm 0.166 0.166 0.000
2 Pm 0.834 0.834 0.000
3 Zr 0.500 0.500 0.000
4 P 0.000 0.000 0.000
5 P 0.341 0.341 0.000
6 P 0.659 0.659 0.000

Results
Space group = I4/mmm (139)
Final energy = -7.1396 eV/atom

Entry 6:
PaMnIr2: relaxed, PBE-GGA.

a b c (Å): 4.184 4.184 3.912
angles (deg): 90.00 90.00 90.00
Element x y z (fractional)
1 Pa 0.000 0.000 0.000
2 Mn 0.500 0.500 0.000
3 Ir 0.000 0.500 0.500
4 Ir 0.500 0.000 0.500

Results
Space group = P4/mmm (123)
Final energy = -9.6591 eV/atom

Entry 7:
Pm6NdDy3: relaxed, PBE-GGA.

a b c (Å): 11.767 11.767 6.477
angles (deg): 90.00 90.00 130.79
Element x y z (fractional)
1 Pm 0.014 0.986 0.500
2 Pm 0.108 0.544 0.033
3 Pm 0.262 0.380 0.281
4 Pm 0.301 0.699 0.506
5 Pm 0.380 0.262 0.781
6 Pm 0.456 0.892 0.033
7 Pm 0.544 0.108 0.533
8 Pm 0.620 0.738 0.281
9 Pm 0.699 0.301 0.006
10 Pm 0.738 0.620 0.781
11 Pm 0.892 0.456 0.533
12 Pm 0.986 0.014 0.000
13 Nd 0.157 0.843 0.713
14 Nd 0.843 0.157 0.213
15 Dy 0.041 0.296 0.689
16 Dy 0.296 0.041 0.189
17 Dy 0.419 0.581 0.801
18 Dy 0.581 0.419 0.301
19 Dy 0.704 0.959 0.689
20 Dy 0.959 0.704 0.189

Results
Space group = Cmc2_1 (36)
Final energy = -4.5832 eV/atom

Entry 8:
Rb2BaAgI5: relaxed, PBE-GGA.

a b c (Å): 11.160 11.160 15.635
angles (deg): 90.00 90.00 154.20
Element x y z (fractional)
1 Rb 0.112 0.888 0.500
2 Rb 0.114 0.886 0.156
3 Rb 0.886 0.114 0.656
4 Rb 0.888 0.112 0.000
5 Ba 0.193 0.807 0.842
6 Ba 0.807 0.193 0.342
7 Ag 0.445 0.555 0.233
8 Ag 0.555 0.445 0.733
9 I 0.034 0.966 0.824
10 I 0.297 0.703 0.495
11 I 0.312 0.688 0.185
12 I 0.350 0.650 0.828
13 I 0.496 0.504 0.572
14 I 0.504 0.496 0.072
15 I 0.650 0.350 0.328
16 I 0.688 0.312 0.685
17 I 0.703 0.297 0.995
18 I 0.966 0.034 0.324

Results
Space group = Cmc2_1 (36)
Raw formation energy = -1.317 eV/atom